1.
GGA-PBE NaLi4Tb, relaxed; ΔH_f (0 K) = 0.167 eV per atom; raw total energy = -12.60 eV for the cell shown; SG = No. 216
1.0
-2.3558 1.7276 -5.1449
-1.9646 -4.0336 -3.8567
-5.8089 -0.6058 -0.9454
Li Na Tb
4 1 1
direct
0.1255 0.6248 0.6248 Li
0.6248 0.6248 0.6248 Li
0.6248 0.1255 0.6248 Li
0.6248 0.6248 0.1255 Li
0.0000 0.0000 0.0000 Na
0.2500 0.2500 0.2500 Tb


2.
GGA-PBE NbH3F, relaxed; raw total energy = -21.64 eV for the cell shown; SG = No. 221
1.0
-0.1306 -3.6239 -0.1687
3.6235 -0.1385 0.1711
-0.1772 -0.1622 3.6222
F H Nb
1 3 1
direct
0.5000 0.5000 0.5000 F
0.5000 0.0000 0.0000 H
0.0000 0.0000 0.5000 H
0.0000 0.5000 0.0000 H
0.0000 0.0000 0.0000 Nb


Number 1: total magnetization 1.3 μB/f.u., DOS at the Fermi energy 3.67 states/eV/f.u.. Number 2: total magnetization 0.0 μB/f.u., DOS at the Fermi energy 1.61 states/eV/f.u..